Computed, not measured: an optimized crystal structure of K3TlF6 at the PBE-GGA level of DFT.

## Properties
Magnetization ... 0.00 μB/f.u.
Raw formation energy ... -2376 kJ/mol of formula units

a = 9.2533 Å, b = 9.2533 Å, c = 9.2533 Å
α = 90.00°, β = 90.00°, γ = 90.00°
Fractional coordinates of all 40 atoms:
K (0.0000, 0.0000, 0.0000)
K (0.0000, 0.5000, 0.5000)
K (0.2500, 0.2500, 0.2500)
K (0.2500, 0.2500, 0.7500)
K (0.2500, 0.7500, 0.2500)
K (0.2500, 0.7500, 0.7500)
K (0.5000, 0.0000, 0.5000)
K (0.5000, 0.5000, 0.0000)
K (0.7500, 0.2500, 0.2500)
K (0.7500, 0.2500, 0.7500)
K (0.7500, 0.7500, 0.2500)
K (0.7500, 0.7500, 0.7500)
Tl (0.0000, 0.0000, 0.5000)
Tl (0.0000, 0.5000, 0.0000)
Tl (0.5000, 0.0000, 0.0000)
Tl (0.5000, 0.5000, 0.5000)
F (0.0419, 0.5555, 0.7724)
F (0.0419, 0.9445, 0.7276)
F (0.0555, 0.2276, 0.5419)
F (0.0555, 0.2724, 0.9581)
F (0.2276, 0.5419, 0.0555)
F (0.2276, 0.9581, 0.4445)
F (0.2724, 0.5419, 0.4445)
F (0.2724, 0.9581, 0.0555)
F (0.4445, 0.2276, 0.9581)
F (0.4445, 0.2724, 0.5419)
F (0.4581, 0.5555, 0.7276)
F (0.4581, 0.9445, 0.7724)
F (0.5419, 0.0555, 0.2276)
F (0.5419, 0.4445, 0.2724)
F (0.5555, 0.7276, 0.4581)
F (0.5555, 0.7724, 0.0419)
F (0.7276, 0.0419, 0.9445)
F (0.7276, 0.4581, 0.5555)
F (0.7724, 0.0419, 0.5555)
F (0.7724, 0.4581, 0.9445)
F (0.9445, 0.7276, 0.0419)
F (0.9445, 0.7724, 0.4581)
F (0.9581, 0.0555, 0.2724)
F (0.9581, 0.4445, 0.2276)